First-principles (PBEsol) data for an optimized crystal structure of NiCN2O, as listed in Alexandria via LeMat-Bulk.

abc: 2.8397 2.8397 6.2235
angles: 90.00 90.00 90.00
Fractional positions:
Ni: 0.0000 0.0000 0.0000
C: 0.5000 0.5000 0.5000
N: 0.0000 0.5000 0.5000
N: 0.5000 0.0000 0.5000
O: 0.5000 0.5000 0.0000

## Properties
Crystal system   tetragonal
DOS(E_F)   2.7 states/eV per cell
Final energy   -6.20 eV per atom
Density   3.8 g cm⁻³